1:
TaNiAsSe2: relaxed, GGA-PBE.

a = 4.9689 Å, b = 4.9689 Å, c = 5.0468 Å
α = 90.00°, β = 90.00°, γ = 90.00°
Closest atoms and distances in Å follow each position.
Fractional coordinates of all 5 atoms:
Ta1 0.0000 0.0000 0.0000  4 Se 2.48, 2 As 2.52
Ni1 0.5000 0.5000 0.5000  4 As 3.51, 8 Se 3.54
As1 0.0000 0.0000 0.5000  2 Ta 2.52
Se1 0.0000 0.5000 0.0000  2 Ta 2.48
Se2 0.5000 0.0000 0.0000  2 Ta 2.48


2:
TaNiAsSe2: relaxed, GGA-PBE.

a = 4.6250 Å, b = 4.6250 Å, c = 4.4803 Å
α = 90.00°, β = 90.00°, γ = 90.00°
Closest atoms and distances in Å follow each position.
Fractional coordinates of all 5 atoms:
Ta1 0.0000 0.0000 0.0000  8 Se 3.22, 4 As 3.27
Ni1 0.5000 0.5000 0.5000  2 As 2.24, 4 Se 2.31
As1 0.5000 0.5000 0.0000  2 Ni 2.24
Se1 0.0000 0.5000 0.5000  2 Ni 2.31
Se2 0.5000 0.0000 0.5000  2 Ni 2.31


Computed relative energies in units of eV/atom: 1 0.000; 2 0.084


1:
NiTeAsSe2: relaxed, GGA-PBE.

a = 4.8445 Å, b = 4.8445 Å, c = 4.5177 Å
α = 90.00°, β = 90.00°, γ = 90.00°
Closest atoms and distances in Å follow each position.
Fractional coordinates of all 5 atoms:
Ni1 0.0000 0.0000 0.0000  2 As 2.26, 4 Se 2.42
Te1 0.5000 0.5000 0.5000  8 Se 3.31, 4 As 3.43
As1 0.0000 0.0000 0.5000  2 Ni 2.26
Se1 0.0000 0.5000 0.0000  2 Ni 2.42
Se2 0.5000 0.0000 0.0000  2 Ni 2.42


2:
NiTeAsSe2: relaxed, GGA-PBE.

a = 5.3343 Å, b = 5.3343 Å, c = 5.3124 Å
α = 90.00°, β = 90.00°, γ = 90.00°
Closest atoms and distances in Å follow each position.
Fractional coordinates of all 5 atoms:
Ni1 0.0000 0.0000 0.0000  8 Se 3.76, 4 As 3.77
Te1 0.5000 0.5000 0.5000  2 As 2.66, 4 Se 2.67
As1 0.5000 0.5000 0.0000  2 Te 2.66
Se1 0.0000 0.5000 0.5000  2 Te 2.67
Se2 0.5000 0.0000 0.5000  2 Te 2.67


Computed relative energies in units of eV/atom: 1 0.000; 2 0.911


1:
TiNiAsSe2: relaxed, GGA-PBE.

a = 4.7209 Å, b = 4.7209 Å, c = 4.4624 Å
α = 90.00°, β = 90.00°, γ = 90.00°
Closest atoms and distances in Å follow each position.
Fractional coordinates of all 5 atoms:
Ti1 0.0000 0.0000 0.0000  8 Se 3.25, 4 As 3.34
Ni1 0.5000 0.5000 0.5000  2 As 2.23, 4 Se 2.36
As1 0.5000 0.5000 0.0000  2 Ni 2.23
Se1 0.0000 0.5000 0.5000  2 Ni 2.36
Se2 0.5000 0.0000 0.5000  2 Ni 2.36


2:
TiNiAsSe2: relaxed, GGA-PBE.

a = 4.8671 Å, b = 4.8671 Å, c = 4.9000 Å
α = 90.00°, β = 90.00°, γ = 90.00°
Closest atoms and distances in Å follow each position.
Fractional coordinates of all 5 atoms:
Ti1 0.0000 0.0000 0.0000  4 Se 2.43, 2 As 2.45
Ni1 0.5000 0.5000 0.5000  4 As 3.44, 8 Se 3.45
As1 0.0000 0.0000 0.5000  2 Ti 2.45
Se1 0.0000 0.5000 0.0000  2 Ti 2.43
Se2 0.5000 0.0000 0.0000  2 Ti 2.43


Computed relative energies in units of eV/atom: 1 0.000; 2 0.092


1:
TiNiAs2Se: relaxed, GGA-PBE.

a = 4.8545 Å, b = 4.8545 Å, c = 4.8298 Å
α = 90.00°, β = 90.00°, γ = 90.00°
Closest atoms and distances in Å follow each position.
Fractional coordinates of all 5 atoms:
Ti1 0.0000 0.0000 0.0000  2 Se 2.41, 4 As 2.43
Ni1 0.5000 0.5000 0.5000  8 As 3.42, 4 Se 3.43
As1 0.0000 0.5000 0.0000  2 Ti 2.43
As2 0.5000 0.0000 0.0000  2 Ti 2.43
Se1 0.0000 0.0000 0.5000  2 Ti 2.41


2:
TiNiAs2Se: relaxed, GGA-PBE.

a = 4.5122 Å, b = 4.5122 Å, c = 4.8145 Å
α = 90.00°, β = 90.00°, γ = 90.00°
Closest atoms and distances in Å follow each position.
Fractional coordinates of all 5 atoms:
Ti1 0.0000 0.0000 0.0000  4 Se 3.19, 8 As 3.30
Ni1 0.5000 0.5000 0.5000  4 As 2.26, 2 Se 2.41
As1 0.0000 0.5000 0.5000  2 Ni 2.26
As2 0.5000 0.0000 0.5000  2 Ni 2.26
Se1 0.5000 0.5000 0.0000  2 Ni 2.41


Computed relative energies in units of eV/atom: 1 0.148; 2 0.000


1:
TlNiAsSe2: relaxed, GGA-PBE.

a = 5.1585 Å, b = 5.1585 Å, c = 4.3723 Å
α = 90.00°, β = 90.00°, γ = 90.00°
Closest atoms and distances in Å follow each position.
Fractional coordinates of all 5 atoms:
Tl1 0.0000 0.0000 0.0000  8 Se 3.38, 4 As 3.65
Ni1 0.5000 0.5000 0.5000  2 As 2.19
As1 0.5000 0.5000 0.0000  2 Ni 2.19
Se1 0.0000 0.5000 0.5000  2 Ni 2.58
Se2 0.5000 0.0000 0.5000  2 Ni 2.58


2:
TlNiAsSe2: relaxed, GGA-PBE.

a = 5.3981 Å, b = 5.3981 Å, c = 5.2837 Å
α = 90.00°, β = 90.00°, γ = 90.00°
Closest atoms and distances in Å follow each position.
Fractional coordinates of all 5 atoms:
Tl1 0.0000 0.0000 0.0000  2 As 2.64, 4 Se 2.70
Ni1 0.5000 0.5000 0.5000  8 Se 3.78, 4 As 3.82
As1 0.0000 0.0000 0.5000  2 Tl 2.64
Se1 0.0000 0.5000 0.0000  2 Tl 2.70
Se2 0.5000 0.0000 0.0000  2 Tl 2.70


Computed relative energies in units of eV/atom: 1 0.000; 2 1.184


1:
TlNiAs2Se: relaxed, GGA-PBE.

a = 5.2779 Å, b = 5.2779 Å, c = 5.3505 Å
α = 90.00°, β = 90.00°, γ = 90.00°
Closest atoms and distances in Å follow each position.
Fractional coordinates of all 5 atoms:
Tl1 0.0000 0.0000 0.0000  4 As 2.64, 2 Se 2.68
Ni1 0.5000 0.5000 0.5000  4 Se 3.73, 8 As 3.76
As1 0.0000 0.5000 0.0000  2 Tl 2.64
As2 0.5000 0.0000 0.0000  2 Tl 2.64
Se1 0.0000 0.0000 0.5000  2 Tl 2.68


2:
TlNiAs2Se: relaxed, GGA-PBE.

a = 4.6257 Å, b = 4.6257 Å, c = 5.2774 Å
α = 90.00°, β = 90.00°, γ = 90.00°
Closest atoms and distances in Å follow each position.
Fractional coordinates of all 5 atoms:
Tl1 0.0000 0.0000 0.0000  4 Se 3.27, 8 As 3.51
Ni1 0.5000 0.5000 0.5000  4 As 2.31
As1 0.0000 0.5000 0.5000  2 Ni 2.31
As2 0.5000 0.0000 0.5000  2 Ni 2.31
Se1 0.5000 0.5000 0.0000  2 Ni 2.64


Computed relative energies in units of eV/atom: 1 1.244; 2 0.000


1:
VNiAsSe2: relaxed, GGA-PBE.

a = 4.7320 Å, b = 4.7320 Å, c = 4.7545 Å
α = 90.00°, β = 90.00°, γ = 90.00°
Closest atoms and distances in Å follow each position.
Fractional coordinates of all 5 atoms:
V1 0.0000 0.0000 0.0000  4 Se 2.37, 2 As 2.38
Ni1 0.5000 0.5000 0.5000  4 As 3.35, 8 Se 3.35
As1 0.0000 0.0000 0.5000  2 V 2.38
Se1 0.0000 0.5000 0.0000  2 V 2.37
Se2 0.5000 0.0000 0.0000  2 V 2.37


2:
VNiAsSe2: relaxed, GGA-PBE.

a = 4.7556 Å, b = 4.7556 Å, c = 4.3939 Å
α = 90.00°, β = 90.00°, γ = 90.00°
Closest atoms and distances in Å follow each position.
Fractional coordinates of all 5 atoms:
V1 0.0000 0.0000 0.0000  8 Se 3.24, 4 As 3.36
Ni1 0.5000 0.5000 0.5000  2 As 2.20, 4 Se 2.38
As1 0.5000 0.5000 0.0000  2 Ni 2.20
Se1 0.0000 0.5000 0.5000  2 Ni 2.38
Se2 0.5000 0.0000 0.5000  2 Ni 2.38


Computed relative energies in units of eV/atom: 1 0.000; 2 0.103


1:
ZnNiAs2Se: relaxed, GGA-PBE.

a = 4.5346 Å, b = 4.5346 Å, c = 5.0309 Å
α = 90.00°, β = 90.00°, γ = 90.00°
Closest atoms and distances in Å follow each position.
Fractional coordinates of all 5 atoms:
Zn1 0.0000 0.0000 0.0000  4 Se 3.21, 8 As 3.39
Ni1 0.5000 0.5000 0.5000  4 As 2.27, 2 Se 2.52
As1 0.0000 0.5000 0.5000  2 Ni 2.27
As2 0.5000 0.0000 0.5000  2 Ni 2.27
Se1 0.5000 0.5000 0.0000  2 Ni 2.52


2:
ZnNiAs2Se: relaxed, GGA-PBE.

a = 5.0469 Å, b = 5.0469 Å, c = 4.6610 Å
α = 90.00°, β = 90.00°, γ = 90.00°
Closest atoms and distances in Å follow each position.
Fractional coordinates of all 5 atoms:
Zn1 0.0000 0.0000 0.0000  2 Se 2.33
Ni1 0.5000 0.5000 0.0000  8 As 3.43, 4 Zn 3.57
As1 0.0000 0.5000 0.5000  2 Se 2.52
As2 0.5000 0.0000 0.5000  2 Se 2.52
Se1 0.0000 0.0000 0.5000  2 Zn 2.33, 4 As 2.52


Computed relative energies in units of eV/atom: 1 0.000; 2 0.648